Record 1
Entry from the Alexandria database: InOs2Ru after structural relaxation (GGA-PBE).

Geometry as POSCAR:
```
InOs2Ru
1.0
-1.4060 2.2617 5.0873
1.4060 -2.2617 5.0873
1.4060 2.2617 -5.0873
In Os Ru
1 2 1
Cartesian
0.0000 0.0000 0.0000 In
1.4060 0.0000 2.8521 Os
0.0000 2.2617 2.2352 Os
0.0000 0.0000 5.0873 Ru
```

M_tot   0.00 μB/cell
Energy of formation from the pure elements   0.505 eV/atom
SG   Immm
Calculated volume   64.7 Å³/cell

=====

Record 2
Entry from the Alexandria database: Ba4SrP after structural relaxation (GGA-PBE).

Geometry as POSCAR:
```
Ba4SrP
1.0
0.0000 5.2948 5.2948
5.2948 0.0000 5.2948
5.2948 5.2948 0.0000
Ba Sr P
4 1 1
Cartesian
1.3043 1.3043 1.3043 Ba
3.9905 3.9905 1.3043 Ba
3.9905 1.3043 3.9905 Ba
1.3043 3.9905 3.9905 Ba
5.2948 5.2948 5.2948 Sr
7.9422 7.9422 7.9422 P
```

M_tot   1.07 μB/cell
Energy of formation from the pure elements   0.415 eV/atom
SG   F-43m
Calculated volume   296.9 Å³/cell

=====

Record 3
Entry from the Alexandria database: NbTlZnF2 after structural relaxation (GGA-PBE).

Geometry as POSCAR:
```
NbTlZnF2
1.0
4.4444 0.0000 0.0000
0.0000 4.4444 0.0000
0.0000 0.0000 6.1480
Nb Tl Zn F
1 1 1 2
Cartesian
0.0000 0.0000 0.0000 Nb
0.0000 0.0000 3.0740 Tl
2.2222 2.2222 0.0000 Zn
0.0000 2.2222 3.0740 F
2.2222 0.0000 3.0740 F
```

Energy   -3.56 eV/atom
M_tot   4.12 μB/cell
SG   P4/mmm
Calculated volume   121.4 Å³/cell

=====

Record 4
Entry from the Alexandria database: CeErGeRh after structural relaxation (GGA-PBE).

Geometry as POSCAR:
```
CeErGeRh
1.0
0.0000 3.5246 3.5246
3.5246 0.0000 3.5246
3.5246 3.5246 0.0000
Ce Er Ge Rh
1 1 1 1
Cartesian
0.0000 0.0000 0.0000 Ce
3.5246 3.5246 3.5246 Er
5.2869 5.2869 5.2869 Ge
1.7623 1.7623 1.7623 Rh
```

M_tot   0.32 μB/cell
Energy of formation from the pure elements   -0.659 eV/atom
SG   F-43m
Calculated volume   87.6 Å³/cell

=====

Record 5
Entry from the Alexandria database: TiP2ICl after structural relaxation (GGA-PBE).

Geometry as POSCAR:
```
TiP2ICl
1.0
5.1592 0.0000 0.0000
0.0000 5.1592 0.0000
0.0000 0.0000 5.1305
Ti P I Cl
1 2 1 1
Cartesian
0.0000 0.0000 0.0000 Ti
0.0000 2.5796 2.5653 P
2.5796 0.0000 2.5653 P
2.5796 2.5796 2.5653 I
2.5796 2.5796 0.0000 Cl
```

M_tot   1.32 μB/cell
ΔE to the lowest computed polymorph   1283 meV/atom
SG   P4/mmm
Calculated volume   136.6 Å³/cell

=====

Record 6
Entry from the Alexandria database: YGe6S8 after structural relaxation (GGA-PBE).

Geometry as POSCAR:
```
YGe6S8
1.0
4.6028 2.6574 5.0993
-4.6028 2.6574 5.0993
0.0000 -5.3148 5.0993
Y Ge S
1 6 8
Cartesian
0.0000 0.0000 0.0000 Y
-1.0563 -1.8940 5.5816 Ge
-1.1121 1.8618 5.5816 Ge
-2.1684 -0.0322 9.7163 Ge
2.1684 0.0322 5.5816 Ge
1.1121 -1.8618 9.7163 Ge
1.0563 1.8940 9.7163 Ge
-3.0955 0.7746 6.4357 S
-2.2186 -2.2935 8.8622 S
0.0000 0.0000 4.4102 S
0.8769 -3.0681 6.4357 S
-0.8769 3.0681 8.8622 S
0.0000 0.0000 10.8877 S
2.2186 2.2935 6.4357 S
3.0955 -0.7746 8.8622 S
```

Energy   -4.95 eV/atom
M_tot   0.00 μB/cell
SG   R-3
Calculated volume   374.2 Å³/cell

=====

Record 7
Entry from the Alexandria database: PrSmPdPt after structural relaxation (GGA-PBE).

Geometry as POSCAR:
```
PrSmPdPt
1.0
0.0000 3.6084 3.6084
3.6084 0.0000 3.6084
3.6084 3.6084 0.0000
Pr Sm Pd Pt
1 1 1 1
Cartesian
0.0000 0.0000 0.0000 Pr
3.6084 3.6084 3.6084 Sm
1.8042 1.8042 1.8042 Pd
5.4126 5.4126 5.4126 Pt
```

M_tot   0.00 μB/cell
ΔE to the lowest computed polymorph   87 meV/atom
Energy of formation from the pure elements   -0.906 eV/atom
SG   F-43m
Calculated volume   94.0 Å³/cell

=====

Record 8
Entry from the Alexandria database: BaNa2Hg10 after structural relaxation (GGA-PBE).

Geometry as POSCAR:
```
BaNa2Hg10
1.0
0.0000 6.9648 8.0283
3.2515 0.0000 8.0283
3.2515 6.9648 0.0000
Ba Na Hg
1 2 10
Cartesian
0.0000 0.0000 0.0000 Ba
1.6257 0.0000 4.0142 Na
1.6257 6.9648 4.0142 Na
1.6257 3.4824 0.0000 Hg
3.2515 4.5623 2.7996 Hg
3.2515 5.4387 6.2375 Hg
3.2515 9.3674 2.7996 Hg
3.2515 8.4909 6.2375 Hg
1.6257 3.4824 8.0283 Hg
3.2515 5.4387 9.8191 Hg
3.2515 4.5623 13.2570 Hg
3.2515 8.4909 9.8191 Hg
3.2515 9.3674 13.2570 Hg
```

M_tot   0.00 μB/cell
Energy of formation from the pure elements   -0.202 eV/atom
SG   Fmmm
Calculated volume   363.6 Å³/cell

=====

Record 9
Entry from the Alexandria database: SrNb2FeN4 after structural relaxation (GGA-PBE).

Geometry as POSCAR:
```
SrNb2FeN4
1.0
1.5975 -5.4843 0.0000
1.5975 5.4843 0.0000
0.0000 0.0000 10.9244
Sr Nb Fe N
2 4 2 8
Cartesian
1.5975 4.3537 8.1933 Sr
1.5975 -4.3537 2.7311 Sr
1.5975 1.4450 5.9940 Nb
1.5975 1.4450 10.3926 Nb
1.5975 -1.4450 0.5318 Nb
1.5975 -1.4450 4.9304 Nb
1.5975 3.6939 2.7311 Fe
1.5975 -3.6939 8.1933 Fe
0.0000 0.0000 0.0000 N
0.0000 0.0000 5.4622 N
1.5975 2.5512 1.2085 N
1.5975 2.5512 4.2537 N
1.5975 0.8216 8.1933 N
1.5975 -0.8216 2.7311 N
1.5975 -2.5512 6.6707 N
1.5975 -2.5512 9.7159 N
```

Energy   -8.74 eV/atom
M_tot   2.61 μB/cell
SG   Cmcm
Calculated volume   191.4 Å³/cell

=====

Record 10
Entry from the Alexandria database: ZrNpPS2 after structural relaxation (GGA-PBE).

Geometry as POSCAR:
```
ZrNpPS2
1.0
-2.0157 2.0157 6.4669
2.0157 -2.0157 6.4669
2.0157 2.0157 -6.4669
Zr Np P S
1 1 1 2
Cartesian
0.0000 0.0000 0.0000 Zr
0.0000 0.0000 9.8208 Np
0.0000 0.0000 4.7999 P
2.0157 0.0000 1.5342 S
0.0000 2.0157 1.5342 S
```

Energy   -7.75 eV/atom
M_tot   3.98 μB/cell
SG   I4mm
Calculated volume   105.1 Å³/cell

=====

Record 11
Entry from the Alexandria database: LiMn2Cl after structural relaxation (GGA-PBE).

Geometry as POSCAR:
```
LiMn2Cl
1.0
3.4236 0.0000 0.0000
0.0000 3.4236 0.0000
0.0000 0.0000 5.4445
Li Mn Cl
1 2 1
Cartesian
0.0000 0.0000 0.0000 Li
1.7118 1.7118 1.2886 Mn
1.7118 1.7118 4.1559 Mn
0.0000 0.0000 2.7222 Cl
```

M_tot   7.99 μB/cell
ΔE to the lowest computed polymorph   455 meV/atom
SG   P4/mmm
Calculated volume   63.8 Å³/cell

=====

Record 12
Entry from the Alexandria database: NbSnTe2 after structural relaxation (GGA-PBE).

Geometry as POSCAR:
```
NbSnTe2
1.0
4.7323 0.0000 0.0000
0.0000 8.4374 0.0000
-2.3580 0.0000 5.0777
Nb Sn Te
2 2 4
Cartesian
0.0031 2.1093 2.1674 Nb
2.3713 6.3280 2.9103 Nb
0.0025 6.3280 0.9142 Sn
2.3718 2.1093 4.1635 Sn
0.0040 4.6438 3.5989 Te
0.0040 8.0123 3.5989 Te
2.3703 0.4251 1.4788 Te
2.3703 3.7936 1.4788 Te
```

Energy   -5.15 eV/atom
M_tot   0.00 μB/cell
SG   P2_1/m
Calculated volume   202.7 Å³/cell